NaSmCrF6 | PBE with a Hubbard U | relaxed

Lattice parameters (Å, degrees): 5.874 5.874 9.406 90.00 90.00 120.00
Positions (direct):
Na1 0.000 0.000 0.000
Na2 0.000 0.000 0.500
Sm1 0.667 0.333 0.250
Sm2 0.333 0.667 0.750
Cr1 0.333 0.667 0.250
Cr2 0.667 0.333 0.750
F1 0.642 0.658 0.133
F2 0.016 0.358 0.133
F3 0.358 0.016 0.633
F4 0.984 0.642 0.867
F5 0.342 0.358 0.367
F6 0.016 0.658 0.367
F7 0.658 0.016 0.867
F8 0.642 0.984 0.367
F9 0.984 0.342 0.633
F10 0.342 0.984 0.133
F11 0.658 0.642 0.633
F12 0.358 0.342 0.867

Results
Fermi-level density of states, states/eV/atom: 0.79
Total DFT energy (no corrections), eV for the cell shown: -106.02
Size of the total moment, μB per formula unit: 4.00